# 1
# MgBO2

An optimized crystal structure of MgBO2 (PBE-GGA, Alexandria via LeMat-Bulk).

* total magnetization: 1.85 μB per cell
* formation energy from raw total energies: -1.800 eV per atom

Cell and atoms, written as CIF:
```
data_MgBO2
_cell_length_a 3.2428
_cell_length_b 3.2428
_cell_length_c 14.2594
_cell_angle_alpha 90.00
_cell_angle_beta 90.00
_cell_angle_gamma 120.00
_symmetry_space_group_name_H-M 'R -3 m'
_symmetry_Int_Tables_number 166
_symmetry_space_group_name_Hall '-R 3 2"'
loop_
_atom_site_label
_atom_site_type_symbol
_atom_site_fract_x
_atom_site_fract_y
_atom_site_fract_z
_atom_site_occupancy
Mg1 Mg 0.0000 0.0000 0.0000 1
B1 B 0.0000 0.0000 0.5000 1
O1 O 0.0000 0.0000 0.4054 1
```

# 2
# MgBP2O8

An optimized crystal structure of MgBP2O8 (PBE-GGA, Alexandria via LeMat-Bulk).

* total magnetization: 4.18 μB per cell
* formation energy from raw total energies: -1.559 eV per atom

Cell and atoms, written as CIF:
```
data_MgBP2O8
_cell_length_a 7.609
_cell_length_b 7.609
_cell_length_c 7.609
_cell_angle_alpha 90.00
_cell_angle_beta 90.00
_cell_angle_gamma 90.00
_symmetry_space_group_name_H-M 'F -4 3 m'
_symmetry_Int_Tables_number 216
_symmetry_space_group_name_Hall 'F -4 2 3'
loop_
_atom_site_label
_atom_site_type_symbol
_atom_site_fract_x
_atom_site_fract_y
_atom_site_fract_z
_atom_site_occupancy
Mg1 Mg 0.000 0.000 0.000 1
B1 B 0.250 0.250 0.750 1
P1 P 0.000 0.000 0.500 1
P2 P 0.250 0.250 0.250 1
O1 O 0.124 0.124 0.624 1
O2 O 0.137 0.137 0.137 1
```

# 3
# MgBPO2

An optimized crystal structure of MgBPO2 (PBE-GGA, Alexandria via LeMat-Bulk).

* total magnetization: 2.44 μB per cell
* formation energy from raw total energies: 0.574 eV per atom

Cell and atoms, written as CIF:
```
data_MgBPO2
_cell_length_a 3.671
_cell_length_b 3.671
_cell_length_c 5.738
_cell_angle_alpha 90.00
_cell_angle_beta 90.00
_cell_angle_gamma 90.00
_symmetry_space_group_name_H-M 'P 4/m m m'
_symmetry_Int_Tables_number 123
_symmetry_space_group_name_Hall '-P 4 2'
loop_
_atom_site_label
_atom_site_type_symbol
_atom_site_fract_x
_atom_site_fract_y
_atom_site_fract_z
_atom_site_occupancy
Mg1 Mg 0.000 0.000 0.000 1
B1 B 0.500 0.500 0.500 1
P1 P 0.000 0.000 0.500 1
O1 O 0.000 0.500 0.000 1
```

# 4
# MgBPO2

An optimized crystal structure of MgBPO2 (PBE-GGA, Alexandria via LeMat-Bulk).

* total magnetization: 0.28 μB per cell
* formation energy from raw total energies: -0.138 eV per atom

Cell and atoms, written as CIF:
```
data_MgBPO2
_cell_length_a 3.369
_cell_length_b 3.369
_cell_length_c 4.884
_cell_angle_alpha 90.00
_cell_angle_beta 90.00
_cell_angle_gamma 90.00
_symmetry_space_group_name_H-M 'P 4/m m m'
_symmetry_Int_Tables_number 123
_symmetry_space_group_name_Hall '-P 4 2'
loop_
_atom_site_label
_atom_site_type_symbol
_atom_site_fract_x
_atom_site_fract_y
_atom_site_fract_z
_atom_site_occupancy
Mg1 Mg 0.000 0.000 0.000 1
B1 B 0.500 0.500 0.500 1
P1 P 0.500 0.500 0.000 1
O1 O 0.000 0.500 0.500 1
```

# 5
# MgB2PO6

An optimized crystal structure of MgB2PO6 (PBE-GGA, Alexandria via LeMat-Bulk).

* total magnetization: 4.00 μB per cell
* formation energy from raw total energies: -2.061 eV per atom

Cell and atoms, written as CIF:
```
data_MgB2PO6
_cell_length_a 9.282
_cell_length_b 8.428
_cell_length_c 4.938
_cell_angle_alpha 90.00
_cell_angle_beta 110.08
_cell_angle_gamma 90.00
_symmetry_space_group_name_H-M 'C 1 2/c 1'
_symmetry_Int_Tables_number 15
loop_
_symmetry_equiv_pos_as_xyz
'x,y,z'
'-x,-y,-z'
'-x,y,-z+1/2'
'x,-y,z+1/2'
'x+1/2,y+1/2,z'
'-x+1/2,-y+1/2,-z'
'-x+1/2,y+1/2,-z+1/2'
'x+1/2,-y+1/2,z+1/2'
loop_
_atom_site_label
_atom_site_type_symbol
_atom_site_fract_x
_atom_site_fract_y
_atom_site_fract_z
_atom_site_occupancy
Mg1 Mg 0.000 0.106 0.250 1
B1 B 0.194 0.424 0.203 1
P1 P 0.000 0.247 0.750 1
O1 O 0.110 0.115 0.671 1
O2 O 0.117 0.270 0.105 1
O3 O 0.175 0.468 0.470 1
```

# 6
# MgPaBO5

An optimized crystal structure of MgPaBO5 (PBE-GGA, Alexandria via LeMat-Bulk).

* total magnetization: 0.00 μB per cell
* formation energy from raw total energies: -2.873 eV per atom

Cell and atoms, written as CIF:
```
data_MgPaBO5
_cell_length_a 7.206
_cell_length_b 8.216
_cell_length_c 7.858
_cell_angle_alpha 90.00
_cell_angle_beta 115.24
_cell_angle_gamma 90.00
_symmetry_space_group_name_H-M 'C 1 2/c 1'
_symmetry_Int_Tables_number 15
loop_
_symmetry_equiv_pos_as_xyz
'x,y,z'
'-x,-y,-z'
'-x,y,-z+1/2'
'x,-y,z+1/2'
'x+1/2,y+1/2,z'
'-x+1/2,-y+1/2,-z'
'-x+1/2,y+1/2,-z+1/2'
'x+1/2,-y+1/2,z+1/2'
loop_
_atom_site_label
_atom_site_type_symbol
_atom_site_fract_x
_atom_site_fract_y
_atom_site_fract_z
_atom_site_occupancy
Mg1 Mg 0.000 0.144 0.250 1
Pa1 Pa 0.000 0.500 0.000 1
B1 B 0.000 0.164 0.750 1
O1 O 0.000 0.379 0.250 1
O2 O 0.071 0.268 0.635 1
O3 O 0.167 0.049 0.875 1
```

# 7
# MgPaBO6

An optimized crystal structure of MgPaBO6 (PBE-GGA, Alexandria via LeMat-Bulk).

* total magnetization: 2.01 μB per cell
* formation energy from raw total energies: -2.062 eV per atom

Cell and atoms, written as CIF:
```
data_MgPaBO6
_cell_length_a 4.9249
_cell_length_b 4.9249
_cell_length_c 4.6079
_cell_angle_alpha 90.00
_cell_angle_beta 90.00
_cell_angle_gamma 120.00
_symmetry_space_group_name_H-M 'P 3 1 2'
_symmetry_Int_Tables_number 149
loop_
_symmetry_equiv_pos_as_xyz
'x,y,z'
'-y,x-y,z'
'-x+y,-x,z'
'-y,-x,-z'
'-x+y,y,-z'
'x,x-y,-z'
loop_
_atom_site_label
_atom_site_type_symbol
_atom_site_fract_x
_atom_site_fract_y
_atom_site_fract_z
_atom_site_occupancy
Mg1 Mg 0.0000 0.0000 0.0000 1
Pa1 Pa 0.6667 0.3333 0.5000 1
B1 B 0.3333 0.6667 0.0000 1
O1 O 0.0455 0.3875 0.2126 1
```

# 8
# MgPaB2O8

An optimized crystal structure of MgPaB2O8 (PBE-GGA, Alexandria via LeMat-Bulk).

* total magnetization: 6.08 μB per cell
* formation energy from raw total energies: -2.171 eV per atom

Cell and atoms, written as CIF:
```
data_MgPaB2O8
_cell_length_a 4.598
_cell_length_b 4.598
_cell_length_c 10.941
_cell_angle_alpha 90.00
_cell_angle_beta 90.00
_cell_angle_gamma 90.00
_symmetry_space_group_name_H-M 'I -4'
_symmetry_Int_Tables_number 82
loop_
_symmetry_equiv_pos_as_xyz
'x,y,z'
'y,-x,-z'
'-x,-y,z'
'-y,x,-z'
'x+1/2,y+1/2,z+1/2'
'y+1/2,-x+1/2,-z+1/2'
'-x+1/2,-y+1/2,z+1/2'
'-y+1/2,x+1/2,-z+1/2'
loop_
_atom_site_label
_atom_site_type_symbol
_atom_site_fract_x
_atom_site_fract_y
_atom_site_fract_z
_atom_site_occupancy
Mg1 Mg 0.000 0.000 0.000 1
Pa1 Pa 0.000 0.500 0.750 1
B1 B 0.000 0.000 0.500 1
B2 B 0.000 0.500 0.250 1
O1 O 0.119 0.746 0.180 1
O2 O 0.129 0.246 0.569 1
```